DFT (PBE) results for a relaxed structure of Rh2AuSe.

Lattice parameters (Å, degrees): 5.5421 5.5421 5.5421 148.20 132.83 58.02
Closest atoms and distances in Å follow each position.
Positions (direct):
Se 0.5226 0.5226 0.0000  6 Rh 2.44-2.71
Rh 0.7200 0.2200 0.5000  2 Se 2.44, 4 Au 2.73
Rh 0.9888 0.9888 0.0000  4 Se 2.71, 2 Rh 3.02
Au 0.2686 0.7686 0.5000  4 Rh 2.73, 2 Se 2.89, 2 Au 3.04

Results
SG: Imm2 (44)
uncorrected energy: -5.2101 eV/atom
formation energy from raw total energies: 0.156 eV/atom


DFT (PBE) results for a relaxed structure of RhAuSe2.

Lattice parameters (Å, degrees): 7.0998 7.0998 7.0998 30.93 30.93 30.93
Closest atoms and distances in Å follow each position.
Positions (direct):
Au 0.4960 0.4960 0.4960  3 Se 2.55, 3 Rh 2.75
Se 0.2279 0.2279 0.2279  3 Au 2.55
Rh 0.7469 0.7469 0.7469  3 Se 2.42
Se 0.0292 0.0292 0.0292  3 Rh 2.42

Results
SG: R3m (160)
uncorrected energy: -4.4730 eV/atom
formation energy from raw total energies: -0.073 eV/atom


DFT (PBE) results for a relaxed structure of RhAuSe.

Lattice parameters (Å, degrees): 3.1417 3.1261 12.5043 90.00 90.00 120.17
Closest atoms and distances in Å follow each position.
Positions (direct):
Se 0.1127 0.2253 0.8542  3 Rh 2.57
Rh 0.4468 0.8937 0.0000  6 Se 2.57
Au 0.7766 0.5531 0.6701  3 Rh 2.79, 3 Se 2.93
Se 0.1127 0.2253 0.1458  3 Rh 2.57
Rh 0.4413 0.8826 0.5000  6 Au 2.79
Au 0.7766 0.5531 0.3299  3 Rh 2.79, 3 Se 2.93

Results
excess energy over the best structure of this formula in the dataset: 6.89 kcal/mol of atoms
SG: Amm2 (38)
uncorrected energy: -4.4950 eV/atom
formation energy from raw total energies: 0.209 eV/atom


DFT (PBE) results for a relaxed structure of RhAu2Se.

Lattice parameters (Å, degrees): 2.8103 2.8103 9.2367 90.00 90.00 90.00
Closest atoms and distances in Å follow each position.
Positions (direct):
Au 0.0000 0.0000 0.0262  4 Au 2.81, 4 Rh 2.87
Se 0.5000 0.5000 0.7500  4 Se 2.81
Au 0.0000 0.0000 0.4738  4 Au 2.81, 4 Rh 2.87
Rh 0.5000 0.5000 0.2500  4 Rh 2.81, 8 Au 2.87

Results
SG: P4/mmm (123)
uncorrected energy: -4.0293 eV/atom
formation energy from raw total energies: 0.318 eV/atom